# CaYBe2Si2, relaxed, DFT PBE
data_CaYBe2Si2
_symmetry_space_group_name_H-M 'P -3 m 1'
_symmetry_Int_Tables_number 164
_symmetry_space_group_name_Hall '-P 3 2"'
_cell_length_a 3.9034
_cell_length_b 3.9034
_cell_length_c 8.3043
_cell_angle_alpha 90.00
_cell_angle_beta 90.00
_cell_angle_gamma 120.00
loop_
_atom_site_label
_atom_site_fract_x
_atom_site_fract_y
_atom_site_fract_z
Ca1 0.0000 0.0000 0.0000
Y1 0.0000 0.0000 0.5000
Be1 0.3333 0.6667 0.7338
Si1 0.3333 0.6667 0.2607
# * raw total energy: -4.965 eV per atom
# * formation energy (no corrections): -504 meV/atom
# * crystal system: trigonal
# * total moment: 0.000 μB/cell
# * N(E_F): 3.0 states/eV/cell

=====

# Pm3PI7, relaxed, DFT PBE
data_Pm3PI7
_symmetry_space_group_name_H-M 'P 3 m 1'
_symmetry_Int_Tables_number 156
_cell_length_a 9.0163
_cell_length_b 9.0163
_cell_length_c 7.5458
_cell_angle_alpha 90.00
_cell_angle_beta 90.00
_cell_angle_gamma 120.00
loop_
_symmetry_equiv_pos_as_xyz
'x,y,z'
'-y,x-y,z'
'-x+y,-x,z'
'-y,-x,z'
'-x+y,y,z'
'x,x-y,z'
loop_
_atom_site_label
_atom_site_fract_x
_atom_site_fract_y
_atom_site_fract_z
Pm1 0.0104 0.5052 0.0000
P1 0.3333 0.6667 0.1598
I1 0.1705 0.3411 0.7553
I2 0.3417 0.1708 0.2272
I3 0.6667 0.3333 0.7495
# * raw total energy: -3.991 eV per atom
# * formation energy (no corrections): -1217 meV/atom
# * crystal system: trigonal
# * total moment: 1.100 μB/cell